Compound: Nd4Al3Zn
Source: Alexandria via LeMat-Bulk
Functional: PBE-GGA
Structure: relaxed

Computed properties:
Formation enthalpy at 0 K: -320 meV/atom
Uncorrected energy: -4.266 eV per atom
Crystal system: orthorhombic
Offset from the most stable computed form: 22 meV/atom

abc: 3.8000 4.5561 12.1930
angles: 90.00 90.00 90.00
Closest atoms and distances in Å follow each position.
Positions (direct):
Nd1 0.0000 0.5000 0.8484  5 Al 3.16-3.48, 2 Zn 3.24
Nd2 0.0000 0.0000 0.1531  4 Zn 3.16, 3 Al 3.24-3.45
Nd3 0.5000 0.5000 0.3440  6 Al 3.17-3.28, 1 Zn 3.42
Nd4 0.5000 0.0000 0.6536  7 Al 3.17-3.47
Al1 0.0000 0.0000 0.4360  2 Al 2.75
Al2 0.0000 0.5000 0.5631  2 Al 2.75
Al3 0.5000 0.0000 0.9382  2 Zn 2.74
Zn1 0.5000 0.5000 0.0636  2 Al 2.74

---

Compound: NdAl3Zn2
Source: Alexandria via LeMat-Bulk
Functional: PBE-GGA
Structure: relaxed

Computed properties:
Formation enthalpy at 0 K: -281 meV/atom
Uncorrected energy: -3.372 eV per atom
Crystal system: hexagonal
Offset from the most stable computed form: 0 meV/atom

abc: 5.5647 5.5647 4.2245
angles: 90.00 90.00 120.00
Closest atoms and distances in Å follow each position.
Positions (direct):
Al1 0.5000 0.0000 0.0000  4 Zn 2.65, 4 Al 2.78
Al2 0.5000 0.5000 0.0000  4 Zn 2.65, 4 Al 2.78
Al3 0.0000 0.5000 0.0000  4 Zn 2.65, 4 Al 2.78
Zn1 0.3333 0.6667 0.5001  6 Al 2.65
Zn2 0.6667 0.3333 0.4999  6 Al 2.65
Nd1 0.0000 0.0000 0.5000  6 Zn 3.21, 12 Al 3.49

---

Compound: NdAlZn5
Source: Alexandria via LeMat-Bulk
Functional: PBE-GGA
Structure: relaxed

Computed properties:
Formation enthalpy at 0 K: -242 meV/atom
Uncorrected energy: -2.368 eV per atom
Crystal system: orthorhombic

abc: 5.1742 8.7988 10.7445
angles: 90.00 90.00 90.00
Closest atoms and distances in Å follow each position.
Positions (direct):
Nd1 0.2500 0.7365 0.5596  11 Zn 3.00-3.36, 1 Al 3.34
Nd2 0.7500 0.2635 0.4404  11 Zn 3.00-3.36, 1 Al 3.34
Nd3 0.2500 0.2365 0.9404  11 Zn 3.00-3.36, 1 Al 3.34
Nd4 0.7500 0.7635 0.0596  11 Zn 3.00-3.36, 1 Al 3.34
Zn1 0.5096 0.4336 0.1916  7 Zn 2.49-2.75
Zn2 0.7500 0.4201 0.9786  5 Zn 2.61-2.65
Zn3 0.7500 0.5485 0.5942  4 Zn 2.67-2.78, 1 Al 2.71
Zn4 0.2500 0.1974 0.2514  7 Zn 2.56-2.78
Zn5 0.7500 0.0485 0.9058  4 Zn 2.67-2.78, 1 Al 2.71
Zn6 0.7500 0.3026 0.7514  7 Zn 2.56-2.78
Zn7 0.2500 0.9515 0.0942  4 Zn 2.67-2.78, 1 Al 2.71
Zn8 0.4904 0.5664 0.8084  7 Zn 2.49-2.75
Zn9 0.2500 0.6974 0.2486  7 Zn 2.56-2.78
Zn10 0.4904 0.0664 0.6916  7 Zn 2.49-2.75
Zn11 0.0096 0.5664 0.8084  7 Zn 2.49-2.75
Zn12 0.0096 0.0664 0.6916  7 Zn 2.49-2.75
Zn13 0.5096 0.9336 0.3084  7 Zn 2.49-2.75
Zn14 0.7500 0.8026 0.7486  7 Zn 2.56-2.78
Zn15 0.7500 0.9201 0.5214  5 Zn 2.61-2.65
Zn16 0.2500 0.5799 0.0214  5 Zn 2.61-2.65
Zn17 0.2500 0.0799 0.4786  5 Zn 2.61-2.65
Zn18 0.9904 0.4336 0.1916  7 Zn 2.49-2.75
Zn19 0.9904 0.9336 0.3084  7 Zn 2.49-2.75
Zn20 0.2500 0.4515 0.4058  4 Zn 2.67-2.78, 1 Al 2.71
Al1 0.7500 0.6397 0.3537  7 Zn 2.71-2.91
Al2 0.2500 0.8603 0.8537  7 Zn 2.71-2.91
Al3 0.2500 0.3603 0.6463  7 Zn 2.71-2.91
Al4 0.7500 0.1397 0.1463  7 Zn 2.71-2.91

---

Compound: Nd8Al2Zn
Source: Alexandria via LeMat-Bulk
Functional: PBE-GGA
Structure: relaxed

Computed properties:
Formation enthalpy at 0 K: -155 meV/atom
Uncorrected energy: -4.419 eV per atom
Crystal system: monoclinic
Offset from the most stable computed form: 0 meV/atom

abc: 5.2377 6.9077 9.8296
angles: 103.82 105.45 90.00
Closest atoms and distances in Å follow each position.
Positions (direct):
Nd1 0.7939 0.7020 0.5877  3 Al 3.17-3.39, 3 Nd 3.44-3.53
Nd2 0.0174 0.7725 0.0348  2 Zn 3.11, 1 Al 3.22, 1 Nd 3.37
Nd3 0.9826 0.2275 0.9652  2 Zn 3.11, 1 Al 3.22, 1 Nd 3.37
Nd4 0.3428 0.0304 0.6855  1 Zn 3.04, 3 Al 3.17-3.18, 1 Nd 3.38
Nd5 0.2061 0.2980 0.4123  3 Al 3.17-3.39, 3 Nd 3.44-3.53
Nd6 0.5948 0.4663 0.1895  1 Zn 3.28, 3 Nd 3.38-3.52, 2 Al 3.42
Nd7 0.4052 0.5337 0.8105  1 Zn 3.28, 3 Nd 3.38-3.52, 2 Al 3.42
Nd8 0.6572 0.9696 0.3145  1 Zn 3.04, 3 Al 3.17-3.18, 1 Nd 3.38
Zn1 0.5000 0.0000 0.0000  8 Nd 3.04-3.28
Al1 0.8161 0.2619 0.6321  9 Nd 3.17-3.42
Al2 0.1839 0.7381 0.3679  9 Nd 3.17-3.42

---

Compound: NdAl2Zn9
Source: Alexandria via LeMat-Bulk
Functional: PBE-GGA
Structure: relaxed

Computed properties:
Formation enthalpy at 0 K: -18 meV/atom
Uncorrected energy: -1.995 eV per atom
Crystal system: hexagonal
Offset from the most stable computed form: 151 meV/atom

abc: 3.2929 8.6474 8.6474
angles: 120.00 90.00 90.00
Closest atoms and distances in Å follow each position.
Positions (direct):
Al1 0.0000 0.3333 0.6667  9 Zn 2.50-2.77
Al2 0.0000 0.6667 0.3333  9 Zn 2.50-2.77
Zn1 0.5000 0.6303 0.8151  2 Al 2.77, 6 Zn 2.77-2.89
Zn2 0.5000 0.3697 0.1849  2 Al 2.77, 6 Zn 2.77-2.89
Zn3 0.5000 0.8151 0.1849  2 Al 2.77, 6 Zn 2.77-2.89
Zn4 0.5000 0.8151 0.6303  2 Al 2.77, 6 Zn 2.77-2.89
Zn5 0.5000 0.1849 0.3697  2 Al 2.77, 6 Zn 2.77-2.89
Zn6 0.0000 0.5000 0.5000  2 Al 2.50
Zn7 0.0000 0.5000 0.0000  2 Al 2.50
Zn8 0.0000 0.0000 0.5000  2 Al 2.50
Zn9 0.5000 0.1849 0.8151  2 Al 2.77, 6 Zn 2.77-2.89
Nd1 0.0000 0.0000 0.0000  12 Zn 3.22, 2 Nd 3.29

---

Compound: NdAl3Zn3
Source: Alexandria via LeMat-Bulk
Functional: PBE-GGA
Structure: relaxed

Computed properties:
Formation enthalpy at 0 K: -96 meV/atom
Uncorrected energy: -2.927 eV per atom
Crystal system: trigonal

abc: 6.6637 6.6637 8.1054
angles: 65.73 65.73 60.00
Closest atoms and distances in Å follow each position.
Positions (direct):
Zn1 0.7215 0.8983 0.2217  2 Zn 2.54, 3 Al 2.59-2.79
Zn2 0.2785 0.1017 0.7783  2 Zn 2.54, 3 Al 2.59-2.79
Zn3 0.1586 0.7215 0.2217  2 Zn 2.54, 3 Al 2.59-2.79
Zn4 0.8414 0.2785 0.7783  2 Zn 2.54, 3 Al 2.59-2.79
Zn5 0.8983 0.1586 0.2217  2 Zn 2.54, 3 Al 2.59-2.79
Zn6 0.1017 0.8414 0.7783  2 Zn 2.54, 3 Al 2.59-2.79
Nd1 0.3322 0.3322 0.0035  6 Zn 3.03-3.21, 3 Al 3.18
Nd2 0.6678 0.6678 0.9965  6 Zn 3.03-3.21, 3 Al 3.18
Al1 0.5879 0.7136 0.6201  4 Zn 2.59-2.86, 2 Al 2.82
Al2 0.4121 0.2864 0.3799  4 Zn 2.59-2.86, 2 Al 2.82
Al3 0.7136 0.0784 0.6201  4 Zn 2.59-2.86, 2 Al 2.82
Al4 0.2864 0.9216 0.3799  4 Zn 2.59-2.86, 2 Al 2.82
Al5 0.9216 0.4121 0.3799  4 Zn 2.59-2.86, 2 Al 2.82
Al6 0.0784 0.5879 0.6201  4 Zn 2.59-2.86, 2 Al 2.82

---

Compound: Nd2Al3Zn2
Source: Alexandria via LeMat-Bulk
Functional: PBE-GGA
Structure: relaxed

Computed properties:
Formation enthalpy at 0 K: -405 meV/atom
Uncorrected energy: -3.736 eV per atom
Crystal system: monoclinic
Offset from the most stable computed form: 3 meV/atom

abc: 4.4223 5.8276 6.8015
angles: 111.64 90.00 112.30
Closest atoms and distances in Å follow each position.
Positions (direct):
Zn1 0.1484 0.2968 0.2588  5 Al 2.64-2.88
Zn2 0.8516 0.7032 0.7412  5 Al 2.64-2.88
Nd1 0.1524 0.3049 0.7763  8 Al 3.13-3.49, 5 Zn 3.16-3.50
Nd2 0.8476 0.6951 0.2237  8 Al 3.13-3.49, 5 Zn 3.16-3.50
Al1 0.4038 0.8076 0.5751  3 Zn 2.64-2.74, 2 Al 2.65
Al2 0.5000 0.0000 0.0000  2 Al 2.65, 4 Zn 2.88
Al3 0.5962 0.1924 0.4249  3 Zn 2.64-2.74, 2 Al 2.65

---

Compound: Nd5AlZn2
Source: Alexandria via LeMat-Bulk
Functional: PBE-GGA
Structure: relaxed

Computed properties:
Formation enthalpy at 0 K: -203 meV/atom
Uncorrected energy: -3.969 eV per atom
Crystal system: tetragonal

abc: 7.6769 7.6769 9.4742
angles: 113.90 113.90 90.00
Closest atoms and distances in Å follow each position.
Positions (direct):
Nd1 0.0171 0.5171 0.6977  3 Zn 3.24-3.30, 2 Al 3.24, 1 Nd 3.55
Nd2 0.8194 0.9829 0.3023  3 Zn 3.24-3.30, 2 Al 3.24, 1 Nd 3.55
Nd3 0.1806 0.0171 0.6977  3 Zn 3.24-3.30, 2 Al 3.24, 1 Nd 3.55
Nd4 0.5000 0.5000 0.0000  4 Zn 3.07
Nd5 0.0000 0.0000 0.0000  4 Zn 3.07
Nd6 0.6806 0.1806 0.6977  3 Zn 3.24-3.30, 2 Al 3.24, 1 Nd 3.55
Nd7 0.4829 0.3194 0.3023  3 Zn 3.24-3.30, 2 Al 3.24, 1 Nd 3.55
Nd8 0.3194 0.8194 0.3023  3 Zn 3.24-3.30, 2 Al 3.24, 1 Nd 3.55
Nd9 0.5171 0.6806 0.6977  3 Zn 3.24-3.30, 2 Al 3.24, 1 Nd 3.55
Nd10 0.9829 0.4829 0.3023  3 Zn 3.24-3.30, 2 Al 3.24, 1 Nd 3.55
Al1 0.7500 0.7500 0.5000  8 Nd 3.24
Al2 0.2500 0.2500 0.5000  8 Nd 3.24
Zn1 0.8813 0.6187 0.0000  1 Zn 2.58
Zn2 0.3813 0.8813 0.0000  1 Zn 2.58
Zn3 0.6187 0.1187 0.0000  1 Zn 2.58
Zn4 0.1187 0.3813 0.0000  1 Zn 2.58